[1]
{"formula": "Pu2SbRu", "functional": "PBE", "state": "relaxed", "sg": "P4/mmm", "e_above_lowest_polymorph_mev_per_atom": 14, "lattice_angstrom": [[3.862, 0.000, 0.000], [0.000, 3.862, 0.000], [0.000, 0.000, 5.892]], "species": ["Pu", "Pu", "Sb", "Ru"], "frac_coords": [[0.000, 0.000, 0.236], [0.000, 0.000, 0.764], [0.500, 0.500, 0.500], [0.500, 0.500, 0.000]]}



[2]
{"formula": "PuSbRu", "functional": "PBE", "state": "relaxed", "energy_ev_per_cell": -28.0, "sg": "I4mm", "lattice_angstrom": [[-1.850, 1.850, 4.860], [1.850, -1.850, 4.860], [1.850, 1.850, -4.860]], "species": ["Pu", "Sb", "Ru"], "frac_coords": [[0.000, 0.000, 0.000], [0.692, 0.692, 0.000], [0.405, 0.405, 0.000]]}



[3]
{"formula": "PuSbRu", "functional": "PBE", "state": "relaxed", "energy_ev_per_cell": -28.5, "sg": "P-6m2", "lattice_angstrom": [[4.634, 0.000, 0.000], [-2.317, 4.013, 0.000], [0.000, 0.000, 3.468]], "species": ["Pu", "Sb", "Ru"], "frac_coords": [[0.000, 0.000, 0.000], [0.333, 0.667, 0.500], [0.667, 0.333, 0.500]]}



[4]
{"formula": "Pu2SbRu", "functional": "PBE", "state": "relaxed", "sg": "P2/m", "e_above_lowest_polymorph_mev_per_atom": 0, "lattice_angstrom": [[3.895, 0.000, 0.000], [0.000, 3.899, 0.000], [-0.879, 0.000, 5.861]], "species": ["Pu", "Pu", "Sb", "Ru"], "frac_coords": [[0.065, 0.000, 0.265], [0.935, 0.000, 0.735], [0.500, 0.500, 0.000], [0.500, 0.500, 0.500]]}



[5]
{"formula": "Pu4SbRu2", "functional": "PBE", "state": "relaxed", "energy_ev_per_cell": -162.3, "sg": "I-42d", "lattice_angstrom": [[-4.367, 4.367, 4.311], [4.367, -4.367, 4.311], [4.367, 4.367, -4.311]], "species": ["Pu", "Pu", "Pu", "Pu", "Pu", "Pu", "Pu", "Pu", "Sb", "Sb", "Ru", "Ru", "Ru", "Ru"], "frac_coords": [[0.002, 0.408, 0.260], [0.149, 0.742, 0.740], [0.158, 0.252, 0.760], [0.258, 0.998, 0.407], [0.492, 0.399, 0.240], [0.592, 0.851, 0.593], [0.601, 0.842, 0.093], [0.748, 0.508, 0.907], [0.000, 0.000, 0.000], [0.750, 0.250, 0.500], [0.234, 0.625, 0.109], [0.375, 0.484, 0.609], [0.516, 0.125, 0.891], [0.875, 0.766, 0.391]]}



[6]
{"formula": "PuSbRu", "functional": "PBE", "state": "relaxed", "energy_ev_per_cell": -57.8, "sg": "P2_1/m", "lattice_angstrom": [[4.415, 0.000, 0.000], [0.000, 4.571, 0.000], [-2.192, 0.000, 6.205]], "species": ["Pu", "Pu", "Sb", "Sb", "Ru", "Ru"], "frac_coords": [[0.094, 0.250, 0.186], [0.906, 0.750, 0.814], [0.379, 0.250, 0.760], [0.621, 0.750, 0.240], [0.249, 0.750, 0.497], [0.751, 0.250, 0.503]]}